(1)
Entry from Alexandria: crystalline MnCdCl4 at its relaxed geometry (PBE).

For the calculated density, the calculation gives 3.17 Mg/m³. Its total energy is -24.0 eV per formula unit. As for the formation energy from raw total energies: -1.08 eV/atom. The density of states at the Fermi level is 0.000 states/eV/atom. The calculation puts the relative energy among the computed polymorphs at 0.0 meV/atom.

Cell: 6.440 3.797 6.624 Å, 90.00 90.39 90.00°
Sites, in units of the cell vectors:
Mn  0.000  0.000  0.000
Cd  0.000  0.500  0.500
Cl  0.216  0.500  0.847
Cl  0.222  0.000  0.323
Cl  0.778  0.000  0.677
Cl  0.784  0.500  0.153

=====

(2)
Entry from Alexandria: crystalline Sb4Au2Br3 at its relaxed geometry (PBE).

For the calculated density, the calculation gives 5.05 Mg/m³. Its total energy is -28.6 eV per formula unit. As for the formation energy from raw total energies: -0.06 eV/atom. The density of states at the Fermi level is 0.193 states/eV/atom.

Cell: 11.269 11.269 5.984 Å, 99.76 99.76 90.59°
Sites, in units of the cell vectors:
Sb  0.092  0.688  0.643
Sb  0.312  0.908  0.857
Sb  0.316  0.344  0.646
Sb  0.344  0.316  0.146
Sb  0.656  0.684  0.854
Sb  0.684  0.656  0.354
Sb  0.688  0.092  0.143
Sb  0.908  0.312  0.357
Au  0.110  0.446  0.566
Au  0.446  0.110  0.066
Au  0.554  0.890  0.934
Au  0.890  0.554  0.434
Br  0.030  0.710  0.048
Br  0.290  0.970  0.452
Br  0.425  0.575  0.750
Br  0.575  0.425  0.250
Br  0.710  0.030  0.548
Br  0.970  0.290  0.952